Entry 1:
VASP calculation (GGA-PBE) on a relaxed Ho3Cu2Rh crystal.

Unit cell a=3.442 b=3.442 c=10.348 alpha=90.00 beta=90.00 gamma=90.00
Space group P4/mmm (No. 123)
Asymmetric unit:
Ho (0.000, 0.000, 0.000)
Ho (0.000, 0.000, 0.339)
Cu (0.500, 0.500, 0.168)
Rh (0.500, 0.500, 0.500)

Electronic total energy = -5.35 eV per atom


Entry 2:
VASP calculation (GGA-PBE) on a relaxed Ho3Cu2Rh crystal.

Unit cell a=4.8627 b=4.8627 c=11.9348 alpha=90.00 beta=90.00 gamma=120.00
Space group P-3m1 (No. 164)
Asymmetric unit:
Ho (0.0000, 0.0000, 0.2469)
Ho (0.3333, 0.6667, 0.4136)
Ho (0.3333, 0.6667, 0.9164)
Cu (0.0000, 0.0000, 0.0000)
Cu (0.0000, 0.0000, 0.5000)
Cu (0.3333, 0.6667, 0.6626)
Rh (0.3333, 0.6667, 0.1658)

Electronic total energy = -5.36 eV per atom


Entry 3:
VASP calculation (GGA-PBE) on a relaxed Ho6CuRh5 crystal.

Unit cell a=4.818 b=14.472 c=6.891 alpha=90.00 beta=90.00 gamma=90.00
Space group Cmmm (No. 65)
Asymmetric unit:
Ho (0.000, 0.000, 0.247)
Ho (0.000, 0.332, 0.250)
Cu (0.000, 0.500, 0.500)
Rh (0.000, 0.165, 0.500)
Rh (0.000, 0.168, 0.000)
Rh (0.000, 0.500, 0.000)

Electronic total energy = -6.49 eV per atom


> Which formula does entry 1 have?

Ho3Cu2Rh


> What is the formula in the second record?

Ho3Cu2Rh


> What is the formula in the third record?

Ho6CuRh5